Entry 1:
An optimized crystal structure of Ce2Sm3DyY6, computed with PBE-GGA.

Energy relative to the elements   0.05 eV/atom
DOS at the Fermi energy   1.7818 states/eV per atom
Calculated total energy   -5.74 eV/atom

a = 6.1985 Å, b = 6.1985 Å, c = 11.8144 Å
α = 95.01°, β = 95.01°, γ = 119.99°
Closest atoms and distances in Å follow each position.
Fractional positions:
Dy  0.0000  0.0000  0.0000  6 Y 3.55, 6 Ce 3.58
Sm  0.1660  0.8340  0.5000  6 Sm 3.57-3.59, 6 Y 3.59-3.60
Sm  0.5000  0.5000  0.5000  6 Sm 3.58-3.59, 6 Y 3.59-3.60
Sm  0.8340  0.1660  0.5000  6 Sm 3.57-3.59, 6 Y 3.59-3.60
Y  0.4179  0.0826  0.2469  2 Ce 3.53-3.54, 1 Dy 3.55, 6 Y 3.57-3.60, 3 Sm 3.59-3.60
Y  0.2526  0.2526  0.7529  2 Ce 3.54, 1 Dy 3.55, 6 Y 3.57-3.60, 3 Sm 3.59
Y  0.0826  0.4179  0.2469  2 Ce 3.53-3.54, 1 Dy 3.55, 6 Y 3.57-3.60, 3 Sm 3.59-3.60
Y  0.9174  0.5821  0.7531  2 Ce 3.53-3.54, 1 Dy 3.55, 6 Y 3.57-3.60, 3 Sm 3.59-3.60
Y  0.7474  0.7474  0.2471  2 Ce 3.54, 1 Dy 3.55, 6 Y 3.57-3.60, 3 Sm 3.59
Y  0.5821  0.9174  0.7531  2 Ce 3.53-3.54, 1 Dy 3.55, 6 Y 3.57-3.60, 3 Sm 3.59-3.60
Ce  0.6665  0.3335  0.0000  6 Y 3.53-3.54, 3 Ce 3.57-3.58, 3 Dy 3.58
Ce  0.3335  0.6665  0.0000  6 Y 3.53-3.54, 3 Ce 3.57-3.58, 3 Dy 3.58

Entry 2:
An optimized crystal structure of KSr3, computed with PBE-GGA.

Energy relative to the elements   0.08 eV/atom
DOS at the Fermi energy   1.0620 states/eV per atom
Calculated total energy   -1.46 eV/atom

a = 8.8166 Å, b = 7.4160 Å, c = 14.2027 Å
α = 90.00°, β = 90.00°, γ = 90.00°
Closest atoms and distances in Å follow each position.
Fractional positions:
Sr  0.8768  0.7522  0.4962  9 Sr 4.27-4.41, 3 K 4.31-4.42
Sr  0.3687  0.4036  0.7500  8 Sr 4.26-4.39, 4 K 4.34-4.43
Sr  0.1232  0.2478  0.5038  9 Sr 4.27-4.41, 3 K 4.31-4.42
Sr  0.3768  0.7478  0.9962  9 Sr 4.27-4.41, 3 K 4.31-4.42
Sr  0.8687  0.0964  0.2500  8 Sr 4.26-4.39, 4 K 4.34-4.43
Sr  0.6232  0.2522  0.0038  9 Sr 4.27-4.41, 3 K 4.31-4.42
Sr  0.3768  0.7478  0.5038  9 Sr 4.27-4.41, 3 K 4.31-4.42
Sr  0.6313  0.5964  0.2500  8 Sr 4.26-4.39, 4 K 4.34-4.43
Sr  0.8768  0.7522  0.0038  9 Sr 4.27-4.41, 3 K 4.31-4.42
Sr  0.1232  0.2478  0.9962  9 Sr 4.27-4.41, 3 K 4.31-4.42
Sr  0.1313  0.9036  0.7500  8 Sr 4.26-4.39, 4 K 4.34-4.43
Sr  0.6232  0.2522  0.4962  9 Sr 4.27-4.41, 3 K 4.31-4.42
K  0.1294  0.5926  0.2500  2 K 4.27, 10 Sr 4.31-4.43
K  0.3706  0.0926  0.2500  2 K 4.27, 10 Sr 4.31-4.43
K  0.6294  0.9074  0.7500  2 K 4.27, 10 Sr 4.31-4.43
K  0.8706  0.4074  0.7500  2 K 4.27, 10 Sr 4.31-4.43

Entry 3:
An optimized crystal structure of BaP4Pd2, computed with PBE-GGA.

Energy relative to the elements   -0.66 eV/atom
DOS at the Fermi energy   0.2479 states/eV per atom
Calculated total energy   -5.51 eV/atom

a = 5.7205 Å, b = 5.7205 Å, c = 5.7205 Å
α = 105.92°, β = 105.95°, γ = 116.80°
Closest atoms and distances in Å follow each position.
Fractional positions:
Pd  0.7498  0.2498  0.5000  4 P 2.41
Pd  0.2502  0.7502  0.5000  4 P 2.41
P  0.7263  0.5000  0.2263  2 P 2.20, 2 Pd 2.41
P  0.2737  0.5000  0.7737  2 P 2.20, 2 Pd 2.41
P  0.5000  0.2738  0.7738  2 P 2.20, 2 Pd 2.41
P  0.5000  0.7262  0.2262  2 P 2.20, 2 Pd 2.41
Ba  0.0000  0.0000  0.0000  8 P 3.38, 8 Pd 3.76

Entry 4:
An optimized crystal structure of Zn3AsI, computed with PBE-GGA.

DOS at the Fermi energy   0.2320 states/eV per atom
Calculated total energy   -1.94 eV/atom
Raw formation energy   0.060 eV per atom

a = 5.0770 Å, b = 5.0770 Å, c = 5.0770 Å
α = 90.00°, β = 90.00°, γ = 90.00°
Closest atoms and distances in Å follow each position.
Fractional positions:
Zn  0.0000  0.5000  0.0000  2 As 2.54
Zn  0.5000  0.0000  0.0000  2 As 2.54
Zn  0.0000  0.0000  0.5000  2 As 2.54
As  0.0000  0.0000  0.0000  6 Zn 2.54
I  0.5000  0.5000  0.5000  12 Zn 3.59

Question: Among the records above, which one has the highest calculated total energy?
Answer: KSr3